[1]
Entry from OQMD: an optimized crystal structure of SrZnCoSe3 (GGA-PBE).

Structure (CIF):
```
data_SrZnCoSe3
_symmetry_space_group_name_H-M 'P 1'
_symmetry_Int_Tables_number 1
_cell_length_a 4.023
_cell_length_b 7.105
_cell_length_c 9.568
_cell_angle_alpha 90.00
_cell_angle_beta 90.00
_cell_angle_gamma 73.55
loop_
_symmetry_equiv_pos_as_xyz
'x,y,z'
loop_
_atom_site_label
_atom_site_type_symbol
_atom_site_fract_x
_atom_site_fract_y
_atom_site_fract_z
_atom_site_occupancy
Co1 Co 0.000 0.000 0.000 1
Co2 Co 0.000 0.000 0.500 1
Se1 Se 0.630 0.741 0.042 1
Se2 Se 0.926 0.149 0.250 1
Se3 Se 0.630 0.741 0.458 1
Se4 Se 0.370 0.259 0.542 1
Se5 Se 0.074 0.851 0.750 1
Se6 Se 0.370 0.259 0.958 1
Sr1 Sr 0.240 0.520 0.250 1
Sr2 Sr 0.760 0.480 0.750 1
Zn1 Zn 0.529 0.943 0.250 1
Zn2 Zn 0.471 0.057 0.750 1
```

Summary:
As for the space group: Cmcm, No. 63. The calculation puts the energy above the most stable polymorph in this dataset at 12.9 meV/atom.

=====

[2]
Entry from OQMD: an optimized crystal structure of SrZnCoSe3 (GGA-PBE).

Structure (CIF):
```
data_SrZnCoSe3
_symmetry_space_group_name_H-M 'P 1'
_symmetry_Int_Tables_number 1
_cell_length_a 6.940
_cell_length_b 6.940
_cell_length_c 10.203
_cell_angle_alpha 90.00
_cell_angle_beta 90.00
_cell_angle_gamma 146.28
loop_
_symmetry_equiv_pos_as_xyz
'x,y,z'
loop_
_atom_site_label
_atom_site_type_symbol
_atom_site_fract_x
_atom_site_fract_y
_atom_site_fract_z
_atom_site_occupancy
Co1 Co 0.532 0.468 0.250 1
Co2 Co 0.468 0.532 0.750 1
Se1 Se 0.633 0.367 0.056 1
Se2 Se 0.932 0.068 0.250 1
Se3 Se 0.633 0.367 0.444 1
Se4 Se 0.367 0.633 0.556 1
Se5 Se 0.068 0.932 0.750 1
Se6 Se 0.367 0.633 0.944 1
Sr1 Sr 0.250 0.750 0.250 1
Sr2 Sr 0.750 0.250 0.750 1
Zn1 Zn 0.000 0.000 0.000 1
Zn2 Zn 0.000 0.000 0.500 1
```

Summary:
As for the space group: Cmcm, No. 63. The calculation puts the energy above the most stable polymorph in this dataset at 0.0 meV/atom.

=====

[3]
Entry from OQMD: an optimized crystal structure of Ta5Co2Se12 (GGA-PBE).

Structure (CIF):
```
data_Ta5Co2Se12
_symmetry_space_group_name_H-M 'P 1'
_symmetry_Int_Tables_number 1
_cell_length_a 7.154
_cell_length_b 7.154
_cell_length_c 19.381
_cell_angle_alpha 110.31
_cell_angle_beta 110.31
_cell_angle_gamma 27.70
loop_
_symmetry_equiv_pos_as_xyz
'x,y,z'
loop_
_atom_site_label
_atom_site_type_symbol
_atom_site_fract_x
_atom_site_fract_y
_atom_site_fract_z
_atom_site_occupancy
Co1 Co 0.555 0.555 0.283 1
Co2 Co 0.445 0.445 0.717 1
Se1 Se 0.380 0.380 0.073 1
Se2 Se 0.654 0.654 0.120 1
Se3 Se 0.930 0.930 0.236 1
Se4 Se 0.175 0.175 0.279 1
Se5 Se 0.519 0.519 0.395 1
Se6 Se 0.814 0.814 0.448 1
Se7 Se 0.186 0.186 0.552 1
Se8 Se 0.481 0.481 0.605 1
Se9 Se 0.825 0.825 0.721 1
Se10 Se 0.070 0.070 0.764 1
Se11 Se 0.346 0.346 0.880 1
Se12 Se 0.620 0.620 0.927 1
Ta1 Ta 0.500 0.500 0.000 1
Ta2 Ta 0.026 0.026 0.146 1
Ta3 Ta 0.161 0.161 0.406 1
Ta4 Ta 0.839 0.839 0.594 1
Ta5 Ta 0.974 0.974 0.854 1
```

Summary:
As for the space group: C2/m, No. 12.

=====

[4]
Entry from OQMD: an optimized crystal structure of CoTcSe (GGA-PBE).

Structure (CIF):
```
data_CoTcSe
_symmetry_space_group_name_H-M 'P 1'
_symmetry_Int_Tables_number 1
_cell_length_a 4.141
_cell_length_b 4.141
_cell_length_c 8.855
_cell_angle_alpha 90.00
_cell_angle_beta 90.00
_cell_angle_gamma 120.00
loop_
_symmetry_equiv_pos_as_xyz
'x,y,z'
loop_
_atom_site_label
_atom_site_type_symbol
_atom_site_fract_x
_atom_site_fract_y
_atom_site_fract_z
_atom_site_occupancy
Co1 Co 0.000 0.000 0.003 1
Co2 Co 0.000 0.000 0.306 1
Co3 Co 0.000 0.000 0.708 1
Se1 Se 0.333 0.667 0.202 1
Se2 Se 0.667 0.333 0.456 1
Se3 Se 0.333 0.667 0.780 1
Tc1 Tc 0.667 0.333 0.135 1
Tc2 Tc 0.333 0.667 0.502 1
Tc3 Tc 0.667 0.333 0.864 1
```

Summary:
As for the space group: P3m1, No. 156.

=====

[5]
Entry from OQMD: an optimized crystal structure of Th2CoSe4 (GGA-PBE).

Structure (CIF):
```
data_Th2CoSe4
_symmetry_space_group_name_H-M 'P 1'
_symmetry_Int_Tables_number 1
_cell_length_a 6.660
_cell_length_b 6.660
_cell_length_c 4.942
_cell_angle_alpha 90.00
_cell_angle_beta 90.00
_cell_angle_gamma 90.00
loop_
_symmetry_equiv_pos_as_xyz
'x,y,z'
loop_
_atom_site_label
_atom_site_type_symbol
_atom_site_fract_x
_atom_site_fract_y
_atom_site_fract_z
_atom_site_occupancy
Co1 Co 0.000 0.000 0.000 1
Se1 Se 0.212 0.212 0.291 1
Se2 Se 0.788 0.788 0.291 1
Se3 Se 0.788 0.212 0.709 1
Se4 Se 0.212 0.788 0.709 1
Th1 Th 0.500 0.000 0.000 1
Th2 Th 0.000 0.500 0.000 1
```

Summary:
As for the space group: P-42m, No. 111.

=====

[6]
Entry from OQMD: an optimized crystal structure of TlCo2Se2 (GGA-PBE).

Structure (CIF):
```
data_TlCo2Se2
_symmetry_space_group_name_H-M 'P 1'
_symmetry_Int_Tables_number 1
_cell_length_a 3.858
_cell_length_b 3.858
_cell_length_c 7.237
_cell_angle_alpha 105.46
_cell_angle_beta 105.46
_cell_angle_gamma 90.00
loop_
_symmetry_equiv_pos_as_xyz
'x,y,z'
loop_
_atom_site_label
_atom_site_type_symbol
_atom_site_fract_x
_atom_site_fract_y
_atom_site_fract_z
_atom_site_occupancy
Co1 Co 0.750 0.250 0.500 1
Co2 Co 0.250 0.750 0.500 1
Se1 Se 0.651 0.651 0.303 1
Se2 Se 0.349 0.349 0.697 1
Tl1 Tl 0.000 0.000 0.000 1
```

Summary:
As for the space group: I4/mmm, No. 139.

=====

[7]
Entry from OQMD: an optimized crystal structure of YTlCoSe3 (GGA-PBE).

Structure (CIF):
```
data_YTlCoSe3
_symmetry_space_group_name_H-M 'P 1'
_symmetry_Int_Tables_number 1
_cell_length_a 8.473
_cell_length_b 3.966
_cell_length_c 10.472
_cell_angle_alpha 90.00
_cell_angle_beta 110.53
_cell_angle_gamma 90.00
loop_
_symmetry_equiv_pos_as_xyz
'x,y,z'
loop_
_atom_site_label
_atom_site_type_symbol
_atom_site_fract_x
_atom_site_fract_y
_atom_site_fract_z
_atom_site_occupancy
Co1 Co 0.071 0.250 0.090 1
Co2 Co 0.929 0.750 0.910 1
Se1 Se 0.208 0.750 0.055 1
Se2 Se 0.059 0.250 0.317 1
Se3 Se 0.556 0.250 0.356 1
Se4 Se 0.444 0.750 0.644 1
Se5 Se 0.941 0.750 0.683 1
Se6 Se 0.792 0.250 0.945 1
Tl1 Tl 0.735 0.750 0.204 1
Tl2 Tl 0.265 0.250 0.796 1
Y1 Y 0.312 0.750 0.356 1
Y2 Y 0.688 0.250 0.644 1
```

Summary:
As for the space group: P2_1/m, No. 11.

=====

[8]
Entry from OQMD: an optimized crystal structure of YTlCoSe3 (GGA-PBE).

Structure (CIF):
```
data_YTlCoSe3
_symmetry_space_group_name_H-M 'P 1'
_symmetry_Int_Tables_number 1
_cell_length_a 8.586
_cell_length_b 8.586
_cell_length_c 8.791
_cell_angle_alpha 104.72
_cell_angle_beta 104.72
_cell_angle_gamma 27.91
loop_
_symmetry_equiv_pos_as_xyz
'x,y,z'
loop_
_atom_site_label
_atom_site_type_symbol
_atom_site_fract_x
_atom_site_fract_y
_atom_site_fract_z
_atom_site_occupancy
Co1 Co 0.500 0.500 0.182 1
Co2 Co 0.500 0.500 0.818 1
Se1 Se 0.000 0.000 0.000 1
Se2 Se 0.349 0.349 0.141 1
Se3 Se 0.648 0.648 0.293 1
Se4 Se 0.500 0.500 0.500 1
Se5 Se 0.352 0.352 0.707 1
Se6 Se 0.651 0.651 0.859 1
Tl1 Tl 0.861 0.861 0.436 1
Tl2 Tl 0.139 0.139 0.564 1
Y1 Y 0.172 0.172 0.093 1
Y2 Y 0.828 0.828 0.907 1
```

Summary:
As for the space group: C2/m, No. 12.

=====

[9]
Entry from OQMD: an optimized crystal structure of UCoSe3 (GGA-PBE).

Structure (CIF):
```
data_UCoSe3
_symmetry_space_group_name_H-M 'P 1'
_symmetry_Int_Tables_number 1
_cell_length_a 7.171
_cell_length_b 8.894
_cell_length_c 6.176
_cell_angle_alpha 90.00
_cell_angle_beta 90.00
_cell_angle_gamma 90.00
loop_
_symmetry_equiv_pos_as_xyz
'x,y,z'
loop_
_atom_site_label
_atom_site_type_symbol
_atom_site_fract_x
_atom_site_fract_y
_atom_site_fract_z
_atom_site_occupancy
Co1 Co 0.000 0.000 0.000 1
Co2 Co 0.000 0.500 0.000 1
Co3 Co 0.500 0.000 0.500 1
Co4 Co 0.500 0.500 0.500 1
Se1 Se 0.964 0.750 0.153 1
Se2 Se 0.678 0.051 0.155 1
Se3 Se 0.678 0.449 0.155 1
Se4 Se 0.178 0.051 0.345 1
Se5 Se 0.178 0.449 0.345 1
Se6 Se 0.464 0.750 0.347 1
Se7 Se 0.536 0.250 0.653 1
Se8 Se 0.822 0.551 0.655 1
Se9 Se 0.822 0.949 0.655 1
Se10 Se 0.322 0.551 0.845 1
Se11 Se 0.322 0.949 0.845 1
Se12 Se 0.036 0.250 0.847 1
U1 U 0.366 0.250 0.073 1
U2 U 0.866 0.250 0.427 1
U3 U 0.134 0.750 0.573 1
U4 U 0.634 0.750 0.927 1
```

Summary:
As for the space group: Pnma, No. 62.

=====

[10]
Entry from OQMD: an optimized crystal structure of CoSi (GGA-PBE).

Structure (CIF):
```
data_CoSi
_symmetry_space_group_name_H-M 'P 1'
_symmetry_Int_Tables_number 1
_cell_length_a 2.634
_cell_length_b 3.724
_cell_length_c 3.073
_cell_angle_alpha 90.00
_cell_angle_beta 90.00
_cell_angle_gamma 45.00
loop_
_symmetry_equiv_pos_as_xyz
'x,y,z'
loop_
_atom_site_label
_atom_site_type_symbol
_atom_site_fract_x
_atom_site_fract_y
_atom_site_fract_z
_atom_site_occupancy
Co1 Co 0.000 0.000 0.000 1
Si1 Si 0.000 0.500 0.500 1
```

Summary:
As for the space group: P4/mmm, No. 123.

=====

[11]
Entry from OQMD: an optimized crystal structure of CoSi (GGA-PBE).

Structure (CIF):
```
data_CoSi
_symmetry_space_group_name_H-M 'P 1'
_symmetry_Int_Tables_number 1
_cell_length_a 2.781
_cell_length_b 2.781
_cell_length_c 2.781
_cell_angle_alpha 90.00
_cell_angle_beta 90.00
_cell_angle_gamma 90.00
loop_
_symmetry_equiv_pos_as_xyz
'x,y,z'
loop_
_atom_site_label
_atom_site_type_symbol
_atom_site_fract_x
_atom_site_fract_y
_atom_site_fract_z
_atom_site_occupancy
Co1 Co 0.000 0.000 0.000 1
Si1 Si 0.500 0.500 0.500 1
```

Summary:
As for the space group: Pm-3m, No. 221.

=====

Number 1: electronic total energy -49.751 eV/cell. Number 2: electronic total energy -49.906 eV/cell. Number 3: electronic total energy -128.371 eV/cell. Number 4: electronic total energy -60.305 eV/cell. Number 5: electronic total energy -42.596 eV/cell. Number 6: electronic total energy -24.547 eV/cell. Number 7: electronic total energy -63.730 eV/cell. Number 8: electronic total energy -61.484 eV/cell. Number 9: electronic total energy -129.913 eV/cell. Number 10: electronic total energy -13.302 eV/cell. Number 11: electronic total energy -13.343 eV/cell.